[1]
A geometry-optimized MgTeBr structure, computed with PBE.

Structure (extended XYZ):
```
3
Lattice="3.717 0.000 0.000 -1.859 3.219 0.000 0.000 0.000 8.034" Properties=species:S:1:pos:R:3 pbc="T T T"
Te 0.000 2.146 4.570
Mg 1.859 1.073 2.511
Br 0.000 0.000 0.953
```

Output
* space group: No. 156
* calculated volume: 96.1 Å³/cell
* D(E_F): 0.502 states/eV/atom
* raw formation energy: -870 meV per atom
* polymorph energy (0 for the lowest one): 15.9 meV/atom
* spin magnetization: 0.00 μB/f.u.

***

[2]
A geometry-optimized MgTeBr2 structure, computed with PBE.

Structure (extended XYZ):
```
4
Lattice="3.535 0.000 0.000 0.000 3.535 0.000 0.000 0.000 8.976" Properties=species:S:1:pos:R:3 pbc="T T T"
Mg 0.000 0.000 4.431
Br 1.767 1.767 2.957
Br 0.000 0.000 8.515
Te 1.767 1.767 6.535
```

Output
* space group: No. 99
* calculated volume: 112.1 Å³/cell
* D(E_F): 0.645 states/eV/atom
* raw formation energy: -396 meV per atom
* polymorph energy (0 for the lowest one): 444.9 meV/atom
* spin magnetization: 0.00 μB/f.u.

***

The lowest raw formation energy belongs to which entry? MgTeBr

***

What is the D(E_F) in the second record? 0.645 states/eV/atom

***

Repeat the first record exactly.
A geometry-optimized MgTeBr structure, computed with PBE.

Structure (extended XYZ):
```
3
Lattice="3.717 0.000 0.000 -1.859 3.219 0.000 0.000 0.000 8.034" Properties=species:S:1:pos:R:3 pbc="T T T"
Te 0.000 2.146 4.570
Mg 1.859 1.073 2.511
Br 0.000 0.000 0.953
```

Output
* space group: No. 156
* calculated volume: 96.1 Å³/cell
* D(E_F): 0.502 states/eV/atom
* raw formation energy: -870 meV per atom
* polymorph energy (0 for the lowest one): 15.9 meV/atom
* spin magnetization: 0.00 μB/f.u.